Entry 1:
Compound: Mg6Ga5Sn
Source: Alexandria
Functional: PBE
Structure: optimized geometry

Unit cell a=8.1006 b=8.1006 c=8.1006 alpha=148.68 beta=118.21 gamma=70.92
Sites, in units of the cell vectors:
Mg 0.0743 0.3313 0.7429
Mg 0.2347 0.0000 0.2347
Mg 0.4116 0.6687 0.7429
Mg 0.5884 0.3313 0.2571
Mg 0.7653 0.0000 0.7653
Mg 0.9257 0.6687 0.2571
Ga 0.0000 0.5000 0.5000
Ga 0.1695 0.1695 0.0000
Ga 0.3311 0.8311 0.5000
Ga 0.6689 0.1689 0.5000
Ga 0.8305 0.8305 0.0000
Sn 0.5000 0.5000 0.0000

Excess energy over the best structure of this formula in the dataset: 8 meV per atom
N(E_F): 4.68 states/eV/f.u.
Calculated total energy: -2.521 eV/atom
Energy of formation: -129 meV/atom

---

Entry 2:
Compound: MgGa4Sn
Source: Alexandria
Functional: PBE
Structure: optimized geometry

Unit cell a=5.1220 b=6.1262 c=8.4758 alpha=103.19 beta=96.33 gamma=104.36
Sites, in units of the cell vectors:
Mg 0.2480 0.3730 0.2443
Mg 0.7520 0.6270 0.7557
Ga 0.2395 0.7101 0.5906
Ga 0.2494 0.0288 0.9204
Ga 0.2496 0.2324 0.5807
Ga 0.2601 0.5406 0.9202
Ga 0.7399 0.4594 0.0798
Ga 0.7504 0.7676 0.4193
Ga 0.7506 0.9712 0.0796
Ga 0.7605 0.2899 0.4094
Sn 0.2596 0.8785 0.2591
Sn 0.7404 0.1215 0.7409

Excess energy over the best structure of this formula in the dataset: 0 meV per atom
N(E_F): 1.81 states/eV/f.u.
Calculated total energy: -2.981 eV/atom
Energy of formation: -30 meV/atom

---

Entry 3:
Compound: Mg2Ga2Sn
Source: Alexandria
Functional: PBE
Structure: optimized geometry

Unit cell a=4.3408 b=4.3408 c=11.8708 alpha=90.00 beta=90.00 gamma=90.00
Sites, in units of the cell vectors:
Mg 0.0000 0.5000 0.2500
Mg 0.0000 0.5000 0.7500
Mg 0.5000 0.0000 0.2500
Mg 0.5000 0.0000 0.7500
Ga 0.0000 0.0000 0.1022
Ga 0.0000 0.0000 0.8978
Ga 0.5000 0.5000 0.3978
Ga 0.5000 0.5000 0.6022
Sn 0.0000 0.0000 0.5000
Sn 0.5000 0.5000 0.0000

Excess energy over the best structure of this formula in the dataset: 84 meV per atom
N(E_F): 2.51 states/eV/f.u.
Calculated total energy: -2.660 eV/atom
Energy of formation: -11 meV/atom

---

Entry 4:
Compound: Mg2Ga6Sn
Source: Alexandria
Functional: PBE
Structure: optimized geometry

Unit cell a=7.6649 b=7.6649 c=4.0632 alpha=104.88 beta=104.88 gamma=54.82
Sites, in units of the cell vectors:
Mg 0.0000 0.0000 0.0000
Mg 0.2458 0.2458 0.2407
Ga 0.0038 0.6211 0.8069
Ga 0.2476 0.6230 0.4267
Ga 0.3129 0.9305 0.6197
Ga 0.6211 0.0038 0.8069
Ga 0.6230 0.2476 0.4267
Ga 0.9305 0.3129 0.6197
Sn 0.6539 0.6539 0.1506

Excess energy over the best structure of this formula in the dataset: 0 meV per atom
N(E_F): 3.19 states/eV/f.u.
Calculated total energy: -2.863 eV/atom
Energy of formation: -46 meV/atom

---

Entry 5:
Compound: MgGaSn2
Source: Alexandria
Functional: PBE
Structure: optimized geometry

Unit cell a=6.8230 b=8.2916 c=3.3459 alpha=90.00 beta=90.00 gamma=90.00
Sites, in units of the cell vectors:
Mg 0.0000 0.0000 0.0000
Mg 0.5000 0.5000 0.0000
Ga 0.0000 0.5000 0.0000
Ga 0.5000 0.0000 0.0000
Sn 0.2500 0.2500 0.5000
Sn 0.2500 0.7500 0.5000
Sn 0.7500 0.2500 0.5000
Sn 0.7500 0.7500 0.5000

Excess energy over the best structure of this formula in the dataset: 0 meV per atom
N(E_F): 1.77 states/eV/f.u.
Calculated total energy: -3.197 eV/atom
Energy of formation: -40 meV/atom

---

Entry 6:
Compound: Mg7Ga5Sn
Source: Alexandria
Functional: PBE
Structure: optimized geometry

Unit cell a=7.6376 b=7.6376 c=7.6376 alpha=138.84 beta=97.47 gamma=96.72
Sites, in units of the cell vectors:
Mg 0.0000 0.0000 0.0000
Mg 0.2864 0.6309 0.6555
Mg 0.2962 0.2962 0.0000
Mg 0.4438 0.1195 0.3243
Mg 0.7952 0.1195 0.6757
Mg 0.8621 0.3621 0.5000
Mg 0.9754 0.6309 0.3445
Ga 0.1252 0.1283 0.5000
Ga 0.1252 0.6251 0.9969
Ga 0.3898 0.8898 0.5000
Ga 0.6282 0.1283 0.0031
Ga 0.6282 0.6251 0.5000
Sn 0.6841 0.6841 0.0000

N(E_F): 4.40 states/eV/f.u.
Calculated total energy: -2.402 eV/atom
Energy of formation: -72 meV/atom

---

Question: Look up the energy of formation of the fifth one.
Answer: -40 meV/atom

---

Question: Look up the calculated total energy of the third one.
Answer: -2.660 eV/atom